# 1
First-principles (PBE) data for a relaxed structure of BaSrZn2, as listed in Alexandria via LeMat-Bulk.

a b c (Å): 4.604 6.481 9.197
angles (deg): 90.00 90.00 90.00
Positions (direct):
Zn: 0.500 0.829 0.478
Zn: 0.000 0.652 0.527
Zn: 0.000 0.348 0.027
Zn: 0.500 0.171 0.978
Sr: 0.500 0.359 0.319
Sr: 0.500 0.641 0.819
Ba: 0.000 0.146 0.676
Ba: 0.000 0.854 0.176

Computed properties:
Energy of formation from the pure elements in eV/atom: -0.177

# 2
First-principles (PBE) data for a relaxed structure of Ti2AlZn, as listed in Alexandria via LeMat-Bulk.

a b c (Å): 4.528 4.528 4.528
angles (deg): 60.00 60.00 60.00
Positions (direct):
Ti: 0.250 0.250 0.250
Ti: 0.000 0.000 0.000
Zn: 0.500 0.500 0.500
Al: 0.750 0.750 0.750

Computed properties:
Energy of formation from the pure elements in eV/atom: -0.005

# 3
First-principles (PBE) data for a relaxed structure of BaHf2B, as listed in Alexandria via LeMat-Bulk.

a b c (Å): 7.090 7.090 7.090
angles (deg): 60.00 60.00 90.00
Positions (direct):
B: 0.500 0.500 0.000
B: 0.250 0.750 0.500
Ba: 0.750 0.250 0.500
Ba: 0.000 0.000 0.000
Hf: 0.375 0.625 0.250
Hf: 0.375 0.625 0.750
Hf: 0.875 0.625 0.750
Hf: 0.375 0.125 0.250

Computed properties:
E above lowest polymorph in meV/atom: 0.0
Energy of formation from the pure elements in eV/atom: 0.647

# 4
First-principles (PBE) data for a relaxed structure of Ca3CrAu, as listed in Alexandria via LeMat-Bulk.

a b c (Å): 5.653 5.653 5.653
angles (deg): 90.00 90.00 90.00
Positions (direct):
Ca: 0.500 0.000 0.000
Ca: 0.000 0.500 0.000
Ca: 0.000 0.000 0.500
Au: 0.000 0.000 0.000
Cr: 0.500 0.500 0.500

Computed properties:
E above lowest polymorph in meV/atom: 0.0
Energy of formation from the pure elements in eV/atom: 0.139

# 5
First-principles (PBE) data for a relaxed structure of PaAl2Ga, as listed in Alexandria via LeMat-Bulk.

a b c (Å): 4.824 4.824 4.821
angles (deg): 59.98 59.98 60.00
Positions (direct):
Al: 0.750 0.750 0.749
Al: 0.250 0.250 0.251
Ga: 0.000 0.000 0.000
Pa: 0.500 0.500 0.500

Computed properties:
E above lowest polymorph in meV/atom: 376.0
Energy of formation from the pure elements in eV/atom: 0.091

# 6
First-principles (PBE) data for a relaxed structure of Zr3PO, as listed in Alexandria via LeMat-Bulk.

a b c (Å): 3.537 7.142 7.977
angles (deg): 104.10 88.87 105.13
Positions (direct):
P: 0.376 0.729 0.630
P: 0.624 0.271 0.370
Zr: 0.841 0.647 0.379
Zr: 0.159 0.353 0.621
Zr: 0.008 0.991 0.778
Zr: 0.992 0.009 0.222
Zr: 0.355 0.698 0.960
Zr: 0.645 0.302 0.040
O: 0.171 0.344 0.894
O: 0.829 0.656 0.106

Computed properties:
E above lowest polymorph in meV/atom: 0.0
Formation energy without anion corrections in eV per atom: -1.338

Record order is preserved below.
Theoretical density: 4.31, 4.76, 6.66, 3.39, 7.43, 5.65 g/cm³
Record order is preserved below.
Magnetization: 0.0, 3.1, 0.0, 4.8, 1.0, 0.0 μB per cell